First-principles (GGA+U) data for a relaxed structure of AcCr3B4O12, as listed in Alexandria.

The symmetry is No. 155. As for the total energy: -161.341 eV per formula unit. The calculation puts the mass density at 4.83 g/cm³.

a b c (Å): 6.180 6.180 6.180
angles (deg): 103.53 103.53 103.53
Site moments in Bohr magnetons follow the coordinates.
Atoms (fractional coordinates):
O1 0.029 0.618 0.779  -0.01
O2 0.971 0.221 0.382  -0.01
O3 0.500 0.356 0.644  -0.04
O4 0.644 0.500 0.356  -0.04
O5 0.779 0.029 0.618  -0.01
O6 0.382 0.971 0.221  -0.01
O7 0.500 0.085 0.915  -0.03
O8 0.356 0.644 0.500  -0.04
O9 0.915 0.500 0.085  -0.03
O10 0.085 0.915 0.500  -0.03
O11 0.221 0.382 0.971  -0.01
O12 0.618 0.779 0.029  -0.01
Ac1 0.000 0.000 0.000  0.01
B1 0.940 0.060 0.500  0.01
B2 0.500 0.940 0.060  0.01
B3 0.060 0.500 0.940  0.01
B4 0.500 0.500 0.500  0.01
Cr1 0.444 0.000 0.556  2.97
Cr2 0.000 0.556 0.444  2.97
Cr3 0.556 0.444 0.000  2.97